Record 1
The following is a PBE calculation of crystalline KLaTa2 at its relaxed geometry, from Alexandria via LeMat-Bulk.

abc: 2.9562 5.3540 7.4395
angles: 90.00 90.00 90.00
Closest atoms and distances in Å follow each position.
Space group Pmmm (No. 47)
Asymmetric unit:
1 K 0.0000 0.0000 0.0000 (multiplicity 1)  2 K 2.96
2 La 0.0000 0.0000 0.5000 (multiplicity 1)  2 La 2.96
3 Ta 0.5000 0.5000 0.3245 (multiplicity 2)  1 Ta 2.61

ΔE to the lowest computed polymorph: 553.9 meV/atom
M_tot: 0.00 μB per formula unit
Density of states at the Fermi level: 1.936 states/eV per atom
Formation enthalpy at 0 K: 1108.4 meV per atom



Record 2
The following is a PBE calculation of crystalline LiBeCo at its relaxed geometry, from Alexandria via LeMat-Bulk.

abc: 2.4465 2.4465 6.1500
angles: 90.00 90.00 120.00
Closest atoms and distances in Å follow each position.
Space group P3m1 (No. 156)
Asymmetric unit:
1 Li 0.0000 0.0000 0.0000 (multiplicity 1)  6 Li 2.45, 3 Co 2.58, 3 Be 2.62
2 Be 0.6667 0.3333 0.3578 (multiplicity 1)  3 Co 2.28, 6 Be 2.45
3 Co 0.3333 0.6667 0.6494 (multiplicity 1)  3 Be 2.28, 6 Co 2.45

ΔE to the lowest computed polymorph: 24.4 meV/atom
M_tot: 1.01 μB per formula unit
Density of states at the Fermi level: 0.713 states/eV per atom
Formation enthalpy at 0 K: 109.6 meV per atom



Record 3
The following is a PBE calculation of crystalline Li4PuIn15 at its relaxed geometry, from Alexandria via LeMat-Bulk.

abc: 4.5367 4.5367 23.3522
angles: 90.00 90.00 90.00
Closest atoms and distances in Å follow each position.
Space group P4/mmm (No. 123)
Asymmetric unit:
1 Li 0.0000 0.0000 0.0994 (multiplicity 2)  12 In 3.21-3.26
2 Li 0.0000 0.0000 0.3022 (multiplicity 2)  12 In 3.15-3.30
3 Pu 0.0000 0.0000 0.5000 (multiplicity 1)  12 In 3.21-3.32
4 In 0.0000 0.5000 0.0000 (multiplicity 2)  8 In 3.21-3.23, 4 Li 3.25
5 In 0.0000 0.5000 0.1996 (multiplicity 4)  8 In 3.21-3.28, 4 Li 3.26-3.30
6 In 0.0000 0.5000 0.3959 (multiplicity 4)  2 Li 3.15, 8 In 3.21-3.32, 2 Pu 3.32
7 In 0.5000 0.5000 0.0984 (multiplicity 2)  4 Li 3.21, 8 In 3.23-3.28
8 In 0.5000 0.5000 0.2989 (multiplicity 2)  8 In 3.21-3.24, 4 Li 3.21
9 In 0.5000 0.5000 0.5000 (multiplicity 1)  4 Pu 3.21, 8 In 3.32

M_tot: 5.36 μB per formula unit
Density of states at the Fermi level: 0.854 states/eV per atom
Formation enthalpy at 0 K: -140.8 meV per atom



Record 4
The following is a PBE calculation of crystalline AcPr4Dy at its relaxed geometry, from Alexandria via LeMat-Bulk.

abc: 7.2152 11.9954 5.9535
angles: 90.00 90.00 90.00
Closest atoms and distances in Å follow each position.
Space group Cmmm (No. 65)
Asymmetric unit:
1 Ac 0.0000 0.0000 0.0000 (multiplicity 2)  8 Pr 3.50-3.52, 2 Dy 3.61
2 Pr 0.2399 0.5000 0.5000 (multiplicity 4)  2 Dy 3.44, 2 Pr 3.46-3.75, 2 Ac 3.52
3 Pr 0.2500 0.2500 0.0000 (multiplicity 4)  2 Ac 3.50, 2 Dy 3.50, 2 Pr 3.61
4 Dy 0.0000 0.5000 0.0000 (multiplicity 2)  8 Pr 3.44-3.50, 2 Ac 3.61

ΔE to the lowest computed polymorph: 424.3 meV/atom
M_tot: 0.00 μB per formula unit
Density of states at the Fermi level: 1.837 states/eV per atom
Formation enthalpy at 0 K: 492.8 meV per atom



Record 5
The following is a PBE calculation of crystalline GdURuRh at its relaxed geometry, from Alexandria via LeMat-Bulk.

abc: 6.8384 6.8384 6.8384
angles: 90.00 90.00 90.00
Closest atoms and distances in Å follow each position.
Space group F-43m (No. 216)
Asymmetric unit:
1 Gd 0.0000 0.0000 0.0000 (multiplicity 4)  4 Rh 2.96, 4 Ru 2.96
2 U 0.0000 0.0000 0.5000 (multiplicity 4)  4 Ru 2.96, 4 Rh 2.96
3 Ru 0.2500 0.2500 0.2500 (multiplicity 4)  4 Gd 2.96, 4 U 2.96
4 Rh 0.2500 0.2500 0.7500 (multiplicity 4)  4 Gd 2.96, 4 U 2.96

M_tot: 5.06 μB per formula unit
Density of states at the Fermi level: 1.945 states/eV per atom
Formation enthalpy at 0 K: -336.1 meV per atom



Record 6
The following is a PBE calculation of crystalline Ac2CePr at its relaxed geometry, from Alexandria via LeMat-Bulk.

abc: 3.8027 3.8027 10.6298
angles: 90.00 90.00 90.00
Closest atoms and distances in Å follow each position.
Space group P4/mmm (No. 123)
Asymmetric unit:
1 Ac 0.0000 0.0000 0.2422 (multiplicity 2)  4 Ce 3.72, 4 Ac 3.80, 4 Pr 3.84
2 Ce 0.5000 0.5000 0.0000 (multiplicity 1)  8 Ac 3.72, 4 Ce 3.80
3 Pr 0.5000 0.5000 0.5000 (multiplicity 1)  4 Pr 3.80, 8 Ac 3.84

ΔE to the lowest computed polymorph: 0.0 meV/atom
M_tot: 1.20 μB per formula unit
Density of states at the Fermi level: 2.292 states/eV per atom
Formation enthalpy at 0 K: 97.0 meV per atom



Record 7
The following is a PBE calculation of crystalline LaMg2 at its relaxed geometry, from Alexandria via LeMat-Bulk.

abc: 13.8533 3.3934 7.3990
angles: 90.00 104.73 90.00
Closest atoms and distances in Å follow each position.
Space group C2/m (No. 12)
Asymmetric unit:
1 La 0.0087 0.0000 0.2757 (multiplicity 4)  3 La 3.39, 8 Mg 3.48-3.54
2 Mg 0.1698 0.5000 0.0619 (multiplicity 4)  7 Mg 3.11-3.39, 2 La 3.48
3 Mg 0.1929 0.5000 0.6178 (multiplicity 4)  7 Mg 3.13-3.39

M_tot: 0.00 μB per formula unit
Density of states at the Fermi level: 0.885 states/eV per atom
Formation enthalpy at 0 K: -64.1 meV per atom



Record 8
The following is a PBE calculation of crystalline Pm2Nd3Al3 at its relaxed geometry, from Alexandria via LeMat-Bulk.

abc: 4.9267 4.9271 9.0919
angles: 90.00 90.00 90.00
Closest atoms and distances in Å follow each position.
Space group Pmmm (No. 47)
Asymmetric unit:
1 Pm 0.0000 0.0000 0.2235 (multiplicity 2)  6 Al 3.19-3.52, 6 Nd 3.48-3.52
2 Nd 0.5000 0.0000 0.5000 (multiplicity 1)  4 Al 3.48, 4 Nd 3.50, 4 Pm 3.52
3 Nd 0.5000 0.5000 0.2268 (multiplicity 2)  6 Al 3.21-3.50, 4 Pm 3.48, 2 Nd 3.50
4 Al 0.0000 0.5000 0.0000 (multiplicity 1)  4 Pm 3.19, 4 Nd 3.21, 4 Al 3.48
5 Al 0.0000 0.5000 0.5000 (multiplicity 1)  8 Nd 3.48-3.50, 4 Pm 3.52
6 Al 0.5000 0.0000 0.0000 (multiplicity 1)  4 Pm 3.19, 4 Nd 3.21, 4 Al 3.48

ΔE to the lowest computed polymorph: 10.8 meV/atom
M_tot: 0.00 μB per formula unit
Density of states at the Fermi level: 0.997 states/eV per atom
Formation enthalpy at 0 K: -243.9 meV per atom